! CoGeOs, relaxed, DFT GGA-PBE; values from VASP
&SYSTEM
  ibrav = 0, nat = 6, ntyp = 3
/
ATOMIC_SPECIES
Co 58.93 Co.upf
Ge 72.64 Ge.upf
Os 190.23 Os.upf
ATOMIC_POSITIONS crystal
Co 0.127 0.127 0.341
Co 0.873 0.873 0.659
Ge 0.163 0.163 0.676
Ge 0.837 0.837 0.324
Os 0.132 0.132 0.995
Os 0.868 0.868 0.005
CELL_PARAMETERS angstrom
4.686 -1.420 0.000
4.686 1.420 0.000
-3.846 0.000 6.530
! - E (eV for the cell shown) = -43.89
! - M_tot (μB per formula unit) = 0.77